DFT (PBE-GGA) results for crystalline La2Tc2Te at its relaxed geometry.

Cell lengths 3.7284, 3.7284, 9.5565 Å; angles 78.75, 78.75, 90.00 degrees
Closest atoms and distances in Å follow each position.
Positions (direct):
La 0.3865 0.3865 0.2269  4 Tc 3.13, 4 Te 3.36
La 0.6135 0.6135 0.7731  4 Tc 3.13, 4 Te 3.36
Te 0.0000 0.0000 0.0000  8 La 3.36, 4 Te 3.73
Tc 0.7500 0.2500 0.5000  4 Tc 2.64
Tc 0.2500 0.7500 0.5000  4 Tc 2.64

- Total moment: 0.0 μB/f.u.
- Energy above the most stable polymorph in this dataset: 0 kJ/mol of formula units
- D(E_F): 3.8 states/eV per cell
- Uncorrected energy: -35.29 eV/f.u.
- Formation energy (no corrections): -0.313 eV per atom

=====

DFT (PBE-GGA) results for crystalline NaMnNb2 at its relaxed geometry.

Cell lengths 4.5132, 4.5132, 4.5132 Å; angles 60.00, 60.00, 60.00 degrees
Closest atoms and distances in Å follow each position.
Positions (direct):
Mn 0.5000 0.5000 0.5000  8 Nb 2.76
Nb 0.2500 0.2500 0.2500  4 Mn 2.76, 4 Na 2.76
Nb 0.7500 0.7500 0.7500  4 Mn 2.76, 4 Na 2.76
Na 0.0000 0.0000 0.0000  8 Nb 2.76

- Total moment: 0.0 μB/f.u.
- ΔH_f (0 K): 0.729 eV/atom
- Energy above the most stable polymorph in this dataset: 0 kJ/mol of formula units
- D(E_F): 2.8 states/eV per cell
- Uncorrected energy: -27.71 eV/f.u.

=====

DFT (PBE-GGA) results for crystalline Nd2SmTmS4 at its relaxed geometry.

Cell lengths 3.9436, 6.9138, 7.0117 Å; angles 108.76, 90.00, 90.00 degrees
Closest atoms and distances in Å follow each position.
Positions (direct):
Nd 0.0000 0.5000 0.5000  6 S 2.92
Nd 0.5000 0.0000 0.5000  6 S 2.85-2.86
S 0.5000 0.2363 0.2327  2 Tm 2.74, 1 Sm 2.81, 3 Nd 2.86-2.92
S 0.0000 0.2461 0.7617  1 Tm 2.74, 2 Sm 2.81, 3 Nd 2.85-2.92
S 0.0000 0.7539 0.2383  1 Tm 2.74, 2 Sm 2.81, 3 Nd 2.85-2.92
S 0.5000 0.7637 0.7673  2 Tm 2.74, 1 Sm 2.81, 3 Nd 2.86-2.92
Tm 0.0000 0.0000 0.0000  6 S 2.74
Sm 0.5000 0.5000 0.0000  6 S 2.81

- Total moment: 0.0 μB/f.u.
- D(E_F): 4.3 states/eV per cell
- Uncorrected energy: -51.24 eV/f.u.
- Formation energy (no corrections): -2.000 eV per atom

=====

DFT (PBE-GGA) results for crystalline Pr4CdGaAu2 at its relaxed geometry.

Cell lengths 5.3174, 5.3174, 9.3651 Å; angles 73.51, 73.51, 60.00 degrees
Closest atoms and distances in Å follow each position.
Positions (direct):
Pr 0.8708 0.8708 0.3876  3 Ga 3.23, 4 Au 3.43-3.51, 1 Cd 3.43
Pr 0.6193 0.6193 0.1421  4 Au 3.14-3.16, 1 Ga 3.17, 3 Cd 3.32
Pr 0.3807 0.3807 0.8579  4 Au 3.14-3.16, 1 Ga 3.17, 3 Cd 3.32
Pr 0.1292 0.1292 0.6124  3 Ga 3.23, 4 Au 3.43-3.51, 1 Cd 3.43
Au 0.2616 0.2616 0.2152  7 Pr 3.14-3.43
Au 0.7384 0.7384 0.7848  7 Pr 3.14-3.43
Ga 0.5000 0.5000 0.5000  8 Pr 3.17-3.23
Cd 0.0000 0.0000 0.0000  8 Pr 3.32-3.43, 6 Au 3.61

- Total moment: 1.0 μB/f.u.
- ΔH_f (0 K): -0.557 eV/atom
- D(E_F): 7.8 states/eV per cell
- Uncorrected energy: -34.07 eV/f.u.

=====

DFT (PBE-GGA) results for crystalline Na2TbTlI6 at its relaxed geometry.

Cell lengths 8.1481, 8.1481, 8.8359 Å; angles 62.52, 62.52, 59.96 degrees
Closest atoms and distances in Å follow each position.
Positions (direct):
Na 0.5159 0.5154 0.4534  6 I 3.26-3.33
Na 0.0027 0.0028 0.9924  6 I 3.21-3.30
I 0.3809 0.7226 0.7615  1 Tb 3.07, 2 Na 3.21-3.33, 1 Tl 3.44
I 0.1348 0.3810 0.7616  1 Tb 3.07, 2 Na 3.21-3.33, 1 Tl 3.44
I 0.7229 0.1346 0.7616  1 Tb 3.07, 2 Na 3.21-3.33, 1 Tl 3.44
I 0.9417 0.5749 0.2372  1 Tb 3.06, 2 Na 3.26-3.30
I 0.5745 0.2463 0.2372  1 Tb 3.06, 2 Na 3.27-3.29
I 0.2462 0.9418 0.2372  1 Tb 3.06, 2 Na 3.26-3.29
Tb 0.3275 0.3274 0.0175  6 I 3.06-3.07
Tl 0.8146 0.8148 0.5557  6 I 3.44-3.63

- Total moment: 0.0 μB/f.u.
- D(E_F): 0.0 states/eV per cell
- Uncorrected energy: -30.79 eV/f.u.
- Formation energy (no corrections): -1.185 eV per atom

=====

DFT (PBE-GGA) results for crystalline NaCa2Cu at its relaxed geometry.

Cell lengths 4.1332, 4.1332, 9.6296 Å; angles 77.61, 77.61, 60.00 degrees
Closest atoms and distances in Å follow each position.
Positions (direct):
Cu 0.6662 0.6662 0.0013  6 Ca 2.88-2.89
Ca 0.0579 0.0579 0.8263  3 Cu 2.89
Ca 0.2752 0.2752 0.1744  3 Cu 2.88
Na 0.5007 0.5007 0.4979  6 Ca 3.85-3.88, 6 Na 4.13

- Total moment: 0.0 μB/f.u.
- ΔH_f (0 K): 0.028 eV/atom
- Energy above the most stable polymorph in this dataset: 32 kJ/mol of formula units
- D(E_F): 1.9 states/eV per cell
- Uncorrected energy: -9.31 eV/f.u.